# 1
DFT (PBE-GGA) results for Bi4S2Cl3 after structural relaxation.

abc: 17.585 3.786 10.340
angles: 90.00 123.45 90.00
Space group C2/m (No. 12)
Unique sites:
Bi: 0.031 0.000 0.171
Bi: 0.179 0.500 0.769
S: 0.144 0.000 0.922
Cl: 0.000 0.500 0.500
Cl: 0.231 0.500 0.308

Computed properties:
- DOS at the Fermi energy (states/eV/cell) = 7.18
- calculated total energy (eV per atom) = -3.6875
- size of the total moment (μB per formula unit) = 0.00

***

# 2
DFT (PBE-GGA) results for BiSCl after structural relaxation.

abc: 4.428 17.185 4.600
angles: 90.00 90.00 90.00
Space group Cmcm (No. 63)
Unique sites:
Bi: 0.000 0.160 0.250
S: 0.000 0.248 0.750
Cl: 0.000 0.403 0.250

Computed properties:
- DOS at the Fermi energy (states/eV/cell) = 0.70
- calculated total energy (eV per atom) = -3.7594
- size of the total moment (μB per formula unit) = 0.00